No. 1
This record from the Alexandria database describes a relaxed structure of RbLiGeSe3. The functional is GGA-PBE.

```
RbLiGeSe3
1.0
4.900 -5.046 0.000
4.900 5.046 0.000
-2.000 0.000 8.597
Rb Li Ge Se
2 2 2 6
Direct
0.200 0.200 0.163
0.800 0.800 0.837
0.290 0.710 0.500
0.710 0.290 0.500
0.185 0.185 0.700
0.815 0.815 0.300
0.097 0.714 0.225
0.286 0.903 0.775
0.358 0.358 0.564
0.642 0.642 0.436
0.714 0.097 0.225
0.903 0.286 0.775
```

For the uncorrected formation energy, the calculation gives -0.7527 eV/atom. The value obtained for the electronic total energy is -22.47 eV per formula unit. The density of states at the Fermi level is 0.0 states/eV/f.u. The space group is C2/m.



No. 2
This record from the Alexandria database describes a relaxed structure of RbLiTc2Ge. The functional is GGA-PBE.

```
RbLiTc2Ge
1.0
4.680 0.000 0.000
0.000 4.680 0.000
0.000 0.000 4.638
Rb Li Tc Ge
1 1 2 1
Direct
0.000 0.000 0.000
0.000 0.000 0.500
0.000 0.500 0.500
0.500 0.000 0.500
0.500 0.500 0.000
```

As for the formation energy: 1.6864 eV per atom. The value obtained for the electronic total energy is -19.80 eV per formula unit. The density of states at the Fermi level is 5.1 states/eV/f.u. The space group is P4/mmm.



No. 3
This record from the Alexandria database describes a relaxed structure of RbLi2TlGe. The functional is GGA-PBE.

```
RbLi2TlGe
1.0
5.237 0.000 0.000
0.000 5.237 0.000
0.000 0.000 5.636
Rb Li Tl Ge
1 2 1 1
Direct
0.000 0.000 0.000
0.000 0.500 0.500
0.500 0.000 0.500
0.500 0.500 0.000
0.500 0.500 0.500
```

As for the formation energy: -0.0822 eV per atom. The value obtained for the electronic total energy is -12.19 eV per formula unit. The density of states at the Fermi level is 1.0 states/eV/f.u. The space group is P4/mmm.



No. 4
This record from the Alexandria database describes a relaxed structure of RbLi2GeW. The functional is GGA-PBE.

```
RbLi2GeW
1.0
5.244 0.000 0.000
0.000 5.244 0.000
0.000 0.000 4.999
Rb Li Ge W
1 2 1 1
Direct
0.000 0.000 0.000
0.000 0.500 0.500
0.500 0.000 0.500
0.500 0.500 0.500
0.500 0.500 0.000
```

As for the formation energy: 0.6873 eV per atom. The value obtained for the electronic total energy is -18.93 eV per formula unit. The density of states at the Fermi level is 2.7 states/eV/f.u. The space group is P4/mmm.



No. 5
This record from the Alexandria database describes a relaxed structure of RbLi2ZnGe. The functional is GGA-PBE.

```
RbLi2ZnGe
1.0
5.192 0.000 0.000
0.000 5.192 0.000
0.000 0.000 4.965
Rb Li Zn Ge
1 2 1 1
Direct
0.000 0.000 0.000
0.000 0.500 0.500
0.500 0.000 0.500
0.500 0.500 0.000
0.500 0.500 0.500
```

As for the formation energy: -0.0656 eV per atom. The value obtained for the electronic total energy is -11.01 eV per formula unit. The density of states at the Fermi level is 1.6 states/eV/f.u. The space group is P4/mmm.



No. 6
This record from the Alexandria database describes a relaxed structure of LiReGe2. The functional is GGA-PBE.

```
LiReGe2
1.0
6.179 0.000 0.000
0.000 6.179 0.000
0.000 0.000 6.179
Li Re Ge
4 4 8
Direct
0.000 0.000 0.000
0.000 0.500 0.500
0.500 0.000 0.500
0.500 0.500 0.000
0.000 0.000 0.500
0.000 0.500 0.000
0.500 0.000 0.000
0.500 0.500 0.500
0.250 0.250 0.250
0.250 0.250 0.750
0.250 0.750 0.250
0.250 0.750 0.750
0.750 0.250 0.250
0.750 0.250 0.750
0.750 0.750 0.250
0.750 0.750 0.750
```

As for the formation energy: 0.1163 eV per atom. The value obtained for the electronic total energy is -23.13 eV per formula unit. The density of states at the Fermi level is 2.0 states/eV/f.u. The space group is Fm-3m.



No. 7
This record from the Alexandria database describes a relaxed structure of LiReGe3. The functional is GGA-PBE.

```
LiReGe3
1.0
4.876 0.000 0.000
0.000 4.876 0.000
0.000 0.000 4.876
Li Re Ge
1 1 3
Direct
0.000 0.000 0.000
0.500 0.500 0.500
0.000 0.500 0.500
0.500 0.000 0.500
0.500 0.500 0.000
```

As for the formation energy: 0.2929 eV per atom. The value obtained for the electronic total energy is -26.75 eV per formula unit. The density of states at the Fermi level is 3.8 states/eV/f.u. The space group is Pm-3m.



No. 8
This record from the Alexandria database describes a relaxed structure of LiReGe2. The functional is GGA-PBE.

```
LiReGe2
1.0
5.202 0.000 0.000
0.000 5.202 0.000
0.000 0.000 15.286
Li Re Ge
4 4 8
Direct
0.000 0.000 0.000
0.000 0.500 0.250
0.500 0.000 0.750
0.500 0.500 0.500
0.000 0.000 0.500
0.000 0.500 0.750
0.500 0.000 0.250
0.500 0.500 0.000
0.102 0.250 0.625
0.250 0.602 0.875
0.250 0.898 0.375
0.398 0.250 0.125
0.602 0.750 0.125
0.750 0.102 0.375
0.750 0.398 0.875
0.898 0.750 0.625
```

As for the formation energy: 0.5724 eV per atom. The value obtained for the electronic total energy is -21.31 eV per formula unit. The density of states at the Fermi level is 1.2 states/eV/f.u. The space group is I-42d.



No. 9
This record from the Alexandria database describes a relaxed structure of LiRe3Ge. The functional is GGA-PBE.

```
LiRe3Ge
1.0
4.575 0.000 0.000
0.000 4.575 0.000
0.000 0.000 4.575
Li Re Ge
1 3 1
Direct
0.000 0.000 0.000
0.000 0.500 0.500
0.500 0.000 0.500
0.500 0.500 0.000
0.500 0.500 0.500
```

As for the formation energy: 1.8245 eV per atom. The value obtained for the electronic total energy is -34.75 eV per formula unit. The density of states at the Fermi level is 7.4 states/eV/f.u. The space group is Pm-3m.



No. 10
This record from the Alexandria database describes a relaxed structure of LiRe3Ge. The functional is GGA-PBE.

```
LiRe3Ge
1.0
4.165 0.000 0.000
0.000 4.165 0.000
0.000 0.000 4.165
Li Re Ge
1 3 1
Direct
0.000 0.000 0.000
0.000 0.000 0.500
0.000 0.500 0.000
0.500 0.000 0.000
0.500 0.500 0.500
```

As for the formation energy: 1.5394 eV per atom. The value obtained for the electronic total energy is -36.18 eV per formula unit. The density of states at the Fermi level is 6.5 states/eV/f.u. The space group is Pm-3m.



No. 11
This record from the Alexandria database describes a relaxed structure of LiReGe. The functional is GGA-PBE.

```
LiReGe
1.0
2.813 0.000 0.000
1.385 4.255 0.000
0.030 1.686 8.077
Li Re Ge
2 2 2
Direct
0.149 0.210 0.070
0.851 0.790 0.930
0.245 0.009 0.629
0.755 0.991 0.371
0.462 0.580 0.248
0.538 0.420 0.752
```

As for the formation energy: 0.1506 eV per atom. The value obtained for the electronic total energy is -18.53 eV per formula unit. The density of states at the Fermi level is 1.2 states/eV/f.u. The space group is P-1.



No. 12
This record from the Alexandria database describes a relaxed structure of LiReGe2. The functional is GGA-PBE.

```
LiReGe2
1.0
3.043 0.000 0.000
-1.521 2.635 0.000
0.000 0.000 26.812
Li Re Ge
3 3 6
Direct
0.000 0.000 0.000
0.333 0.667 0.667
0.667 0.333 0.333
0.000 0.000 0.500
0.333 0.667 0.167
0.667 0.333 0.833
0.000 0.000 0.095
0.000 0.000 0.905
0.333 0.667 0.572
0.333 0.667 0.762
0.667 0.333 0.238
0.667 0.333 0.428
```

As for the formation energy: 0.1142 eV per atom. The value obtained for the electronic total energy is -23.14 eV per formula unit. The density of states at the Fermi level is 2.3 states/eV/f.u. The space group is R-3m.



Copy entry 2 word for word.
This record from the Alexandria database describes a relaxed structure of RbLiTc2Ge. The functional is GGA-PBE.

```
RbLiTc2Ge
1.0
4.680 0.000 0.000
0.000 4.680 0.000
0.000 0.000 4.638
Rb Li Tc Ge
1 1 2 1
Direct
0.000 0.000 0.000
0.000 0.000 0.500
0.000 0.500 0.500
0.500 0.000 0.500
0.500 0.500 0.000
```

As for the formation energy: 1.6864 eV per atom. The value obtained for the electronic total energy is -19.80 eV per formula unit. The density of states at the Fermi level is 5.1 states/eV/f.u. The space group is P4/mmm.